1.
Compound: CeSm3Au4
Source: Alexandria via LeMat-Bulk
Functional: PBE-GGA
Structure: optimized geometry

Structure (POSCAR):
```
CeSm3Au4
1.0
4.992 0.000 1.474
2.279 4.442 1.474
0.046 0.028 9.036
Au Sm Ce
4 3 1
Direct
0.874 0.874 0.378
0.377 0.377 0.870
0.126 0.126 0.622
0.623 0.623 0.130
0.250 0.250 0.249
0.750 0.750 0.751
0.500 0.500 0.500
0.000 0.000 0.000
```

Computed properties:
As for the magnetic moment: 1.0 μB per cell. For the energy of formation, the calculation gives -568.8 kJ/mol of formula units. Its density is 11.45 g/cm3. Its space group is R-3m, No. 166. For the volume, the calculation gives 200.0 Å³/f.u.

***

2.
Compound: CeSm2Au3
Source: Alexandria via LeMat-Bulk
Functional: PBE-GGA
Structure: optimized geometry

Structure (POSCAR):
```
CeSm2Au3
1.0
3.656 0.000 0.000
0.000 3.656 0.000
0.000 0.000 11.212
Ce Sm Au
1 2 3
Direct
0.500 0.500 0.500
0.500 0.500 0.835
0.500 0.500 0.165
0.000 0.000 0.000
0.000 0.000 0.673
0.000 0.000 0.327
```

Computed properties:
As for the magnetic moment: 1.2 μB per cell. For the energy of formation, the calculation gives -421.2 kJ/mol of formula units. Its density is 11.43 g/cm3. Its space group is P4/mmm, No. 123. For the volume, the calculation gives 149.9 Å³/f.u.

***

3.
Compound: CeSm2Au
Source: Alexandria via LeMat-Bulk
Functional: PBE-GGA
Structure: optimized geometry

Structure (POSCAR):
```
CeSm2Au
1.0
-0.361 2.176 -2.940
1.962 -2.378 -2.000
-6.927 -3.964 -2.084
Au Ce Sm
1 1 2
Direct
0.500 0.500 0.000
0.500 0.500 0.500
0.000 0.000 0.783
0.000 0.000 0.217
```

Computed properties:
As for the magnetic moment: 0.4 μB per cell. For the energy of formation, the calculation gives -129.7 kJ/mol of formula units. Its density is 9.51 g/cm3. Its space group is P4/mmm, No. 123. For the volume, the calculation gives 111.4 Å³/f.u.

***

4.
Compound: CeSm2Au
Source: Alexandria via LeMat-Bulk
Functional: PBE-GGA
Structure: optimized geometry

Structure (POSCAR):
```
CeSm2Au
1.0
5.245 0.000 0.000
2.622 4.542 0.000
2.622 1.514 4.285
Au Ce Sm
1 1 2
Direct
0.000 0.000 0.000
0.500 0.500 0.500
0.250 0.250 0.250
0.750 0.750 0.750
```

Computed properties:
As for the magnetic moment: 0.0 μB per cell. For the energy of formation, the calculation gives -46.8 kJ/mol of formula units. Its density is 10.38 g/cm3. Its space group is Fm-3m, No. 225. For the volume, the calculation gives 102.1 Å³/f.u.

***

5.
Compound: Ce3Sm2Au7
Source: Alexandria via LeMat-Bulk
Functional: PBE-GGA
Structure: optimized geometry

Structure (POSCAR):
```
Ce3Sm2Au7
1.0
4.307 0.000 0.000
0.000 4.703 0.000
0.000 -2.352 15.716
Ce Sm Au
3 2 7
Direct
0.500 0.500 0.000
0.500 0.703 0.405
0.500 0.297 0.595
0.000 0.872 0.745
0.000 0.128 0.255
0.000 0.428 0.857
0.000 0.778 0.556
0.000 0.000 0.000
0.000 0.572 0.143
0.500 0.065 0.130
0.500 0.935 0.870
0.000 0.222 0.444
```

Computed properties:
As for the magnetic moment: 1.7 μB per cell. For the energy of formation, the calculation gives -532.5 kJ/mol of formula units. Its density is 10.95 g/cm3. Its space group is Cmmm, No. 65. For the volume, the calculation gives 318.4 Å³/f.u.

***

6.
Compound: Ce2SmAu4
Source: Alexandria via LeMat-Bulk
Functional: PBE-GGA
Structure: optimized geometry

Structure (POSCAR):
```
Ce2SmAu4
1.0
5.087 0.000 -1.622
-0.517 5.061 -1.622
-0.410 -0.454 7.505
Au Sm Ce
4 1 2
Direct
0.382 0.882 0.763
0.882 0.382 0.763
0.618 0.118 0.237
0.118 0.618 0.237
0.000 0.000 0.000
0.720 0.720 0.439
0.280 0.280 0.561
```

Computed properties:
As for the magnetic moment: 2.1 μB per cell. For the energy of formation, the calculation gives -371.7 kJ/mol of formula units. Its density is 10.89 g/cm3. Its space group is I4/mmm, No. 139. For the volume, the calculation gives 185.7 Å³/f.u.

***

7.
Compound: Ce2SmAu
Source: Alexandria via LeMat-Bulk
Functional: PBE-GGA
Structure: optimized geometry

Structure (POSCAR):
```
Ce2SmAu
1.0
5.307 0.000 0.000
2.654 4.596 0.000
2.654 1.532 4.336
Au Ce Sm
1 2 1
Direct
0.500 0.500 0.500
0.750 0.750 0.750
0.250 0.250 0.250
0.000 0.000 0.000
```

Computed properties:
As for the magnetic moment: 2.4 μB per cell. For the energy of formation, the calculation gives -26.8 kJ/mol of formula units. Its density is 9.85 g/cm3. Its space group is Fm-3m, No. 225. For the volume, the calculation gives 105.8 Å³/f.u.

***

8.
Compound: CeSmAu2
Source: Alexandria via LeMat-Bulk
Functional: PBE-GGA
Structure: optimized geometry

Structure (POSCAR):
```
CeSmAu2
1.0
-0.526 -1.098 3.658
3.266 -3.415 -0.556
4.296 4.136 -0.174
Ce Sm Au
1 1 2
Direct
0.445 0.500 0.430
0.722 0.000 0.982
0.169 0.500 0.878
0.994 0.000 0.528
```

Computed properties:
As for the magnetic moment: 0.9 μB per cell. For the energy of formation, the calculation gives -282.7 kJ/mol of formula units. Its density is 10.98 g/cm3. Its space group is Amm2, No. 38. For the volume, the calculation gives 103.5 Å³/f.u.